No. 1
First-principles (GGA-PBE) data for BaNiW after structural relaxation, as listed in the Alexandria database.

POSCAR file:
```
BaNiW
1.0
4.167 0.000 0.000
0.000 4.025 0.000
-0.352 0.000 9.699
Ba Ni W
2 2 2
Direct
0.231 0.250 0.309
0.769 0.750 0.691
0.292 0.250 0.855
0.708 0.750 0.145
0.221 0.750 0.999
0.779 0.250 0.001
```

Computed properties:
space-group type = P2_1/m
E above lowest polymorph = 62 meV/atom
DOS at the Fermi energy = 3.10 states/eV/f.u.
calculated formation energy = 8.812 kcal/mol of atoms

=====

No. 2
First-principles (GGA-PBE) data for TbPmPrCd after structural relaxation, as listed in the Alexandria database.

POSCAR file:
```
TbPmPrCd
1.0
3.711 0.000 0.000
0.000 3.711 0.000
0.000 0.000 9.010
Tb Pm Pr Cd
1 1 1 1
Direct
0.000 0.000 0.000
0.000 0.000 0.439
0.500 0.500 0.723
0.500 0.500 0.211
```

Computed properties:
space-group type = P4mm
E above lowest polymorph = 0 meV/atom
DOS at the Fermi energy = 4.78 states/eV/f.u.
calculated formation energy = -3.461 kcal/mol of atoms

=====

No. 3
First-principles (GGA-PBE) data for ZrScCuNi after structural relaxation, as listed in the Alexandria database.

POSCAR file:
```
ZrScCuNi
1.0
0.000 3.231 3.231
3.231 0.000 3.231
3.231 3.231 0.000
Zr Sc Cu Ni
1 1 1 1
Direct
0.000 0.000 0.000
0.500 0.500 0.500
0.750 0.750 0.750
0.250 0.250 0.250
```

Computed properties:
space-group type = F-43m
E above lowest polymorph = 30 meV/atom
DOS at the Fermi energy = 4.31 states/eV/f.u.
calculated formation energy = -6.906 kcal/mol of atoms